# Rb3Pr3NbO8 PBE optimized geometry
# SG: R-3m
# Total magnetic moment in μB per formula unit: 0.97
# Total DFT energy (no corrections) in eV per atom: -6.97
# Formation energy from raw total energies in eV/atom: -2.50
data_Rb3Pr3NbO8
_chemical_formula_sum 'Rb3 Pr3 Nb1 O8'
_symmetry_space_group_name_H-M 'P 1'
_symmetry_Int_Tables_number 1
_symmetry_space_group_name_Hall 'P 1'
_cell_length_a 7.817
_cell_length_b 7.817
_cell_length_c 7.817
_cell_angle_alpha 54.54
_cell_angle_beta 54.54
_cell_angle_gamma 54.54
loop_
_atom_site_label
_atom_site_type_symbol
_atom_site_fract_x
_atom_site_fract_y
_atom_site_fract_z
Rb1 Rb 0.000 0.500 0.500
Rb2 Rb 0.500 0.000 0.500
Rb3 Rb 0.500 0.500 0.000
Pr1 Pr 0.000 0.000 0.500
Pr2 Pr 0.000 0.500 0.000
Pr3 Pr 0.500 0.000 0.000
Nb1 Nb 0.500 0.500 0.500
O1 O 0.228 0.228 0.228
O2 O 0.258 0.703 0.703
O3 O 0.297 0.297 0.742
O4 O 0.297 0.742 0.297
O5 O 0.703 0.258 0.703
O6 O 0.703 0.703 0.258
O7 O 0.742 0.297 0.297
O8 O 0.772 0.772 0.772